VASP calculation (GGA-PBE) on an optimized crystal structure of La5Tb2NdDy.

Geometry as POSCAR:
```
La5Tb2NdDy
1.0
-3.705 5.809 7.350
-7.413 -2.754 -1.560
1.110 -5.982 5.287
La Tb Nd Dy
10 4 2 2
direct
0.500 0.500 0.500
0.500 0.000 0.000
0.237 0.206 0.706
0.237 0.794 0.294
0.237 0.294 0.206
0.237 0.706 0.794
0.763 0.206 0.706
0.763 0.706 0.794
0.763 0.794 0.294
0.763 0.294 0.206
0.500 0.629 0.129
0.500 0.129 0.371
0.500 0.871 0.629
0.500 0.371 0.871
0.000 0.500 0.500
0.000 0.000 0.000
0.000 0.000 0.500
0.000 0.500 0.000
```

Values from the calculation:
Crystal system = tetragonal
Energy of formation from the pure elements = 0.2717 eV per atom

---

VASP calculation (GGA-PBE) on an optimized crystal structure of CeAgTe2O8.

Geometry as POSCAR:
```
CeAgTe2O8
1.0
-4.557 4.034 -0.261
-1.203 -5.897 0.942
0.487 0.994 6.845
Ce Ag Te O
1 1 2 8
direct
0.000 0.000 0.000
0.000 0.000 0.500
0.667 0.333 0.308
0.333 0.667 0.692
0.833 0.167 0.212
0.833 0.667 0.212
0.333 0.167 0.212
0.667 0.833 0.788
0.333 0.667 0.430
0.667 0.333 0.570
0.167 0.833 0.788
0.167 0.333 0.788
```

Values from the calculation:
ΔE_f (raw) = -14.91 eV/f.u.
Crystal system = trigonal

---

VASP calculation (GGA-PBE) on an optimized crystal structure of NdThCuGe.

Geometry as POSCAR:
```
NdThCuGe
1.0
5.139 0.000 0.000
2.570 4.451 0.000
2.570 1.484 4.196
Ge Nd Cu Th
1 1 1 1
direct
0.250 0.250 0.250
0.500 0.500 0.500
0.750 0.750 0.750
0.000 0.000 0.000
```

Values from the calculation:
Crystal system = cubic
Energy of formation from the pure elements = -0.3597 eV per atom